1.
# LaCdHRhAu

A relaxed structure of LaCdHRhAu (GGA-PBE, the Alexandria database).

abc: 4.6487 4.6519 5.4738
angles: 67.13 67.14 63.31
Sites, in units of the cell vectors:
La  0.7153  0.8338  0.4518
Cd  0.2073  0.3254  0.9207
H  0.1136  0.2323  0.5216
Rh  0.8990  0.0167  0.7910
Au  0.4911  0.6097  0.0932

Crystal system: monoclinic
E above lowest polymorph, meV per atom: 0
Space group: Cm, No. 8



2.
# TiRePtI2

A relaxed structure of TiRePtI2 (GGA-PBE, the Alexandria database).

abc: 5.2709 4.7584 5.2709
angles: 90.00 90.00 90.00
Sites, in units of the cell vectors:
I  0.0000  0.0000  0.5000
I  0.5000  0.0000  0.0000
Re  0.0000  0.0000  0.0000
Pt  0.5000  0.5000  0.5000
Ti  0.0000  0.5000  0.0000

Crystal system: tetragonal
E_form (uncorrected), eV per atom: 1.31
Space group: P4/mmm, No. 123



Number 1: DOS at the Fermi energy 2.01 states/eV per cell, VASP energy -22.4 eV/cell. Number 2: DOS at the Fermi energy 6.58 states/eV per cell, VASP energy -23.0 eV/cell.